Entry 1:
Entry from the Alexandria database: a relaxed structure of AlCu2 (GGA-PBE).

Its energy relative to the elements is -0.165 eV/atom.

Cell lengths 4.9475, 4.9475, 6.1844 Å; angles 107.72, 107.72, 32.63 degrees
With the nearest neighbours (Å) after each atom.
Atoms (fractional coordinates):
1 Al 0.1774 0.1774 0.1392  8 Cu 2.56-2.65, 2 Al 2.78
2 Al 0.8226 0.8226 0.8608  8 Cu 2.56-2.65, 2 Al 2.78
3 Cu 0.1439 0.1439 0.5366  9 Cu 2.57-2.78, 3 Al 2.58
4 Cu 0.4670 0.4670 0.2081  5 Al 2.56-2.65, 7 Cu 2.57-2.84
5 Cu 0.5330 0.5330 0.7919  5 Al 2.56-2.65, 7 Cu 2.57-2.84
6 Cu 0.8561 0.8561 0.4634  9 Cu 2.57-2.78, 3 Al 2.58

Entry 2:
Entry from the Alexandria database: a relaxed structure of SrTbGaO4 (GGA-PBE).

As for the raw formation energy: -2.69 eV/atom.

Cell lengths 5.7287, 5.8187, 6.8698 Å; angles 90.00, 108.23, 90.00 degrees
With the nearest neighbours (Å) after each atom.
Atoms (fractional coordinates):
1 Sr 0.2182 0.2500 0.4366  2 O 2.37-2.41
2 Sr 0.7818 0.7500 0.5634  2 O 2.37-2.41
3 Tb 0.3087 0.2500 0.9626  6 O 2.28-2.43
4 Tb 0.6913 0.7500 0.0374  6 O 2.28-2.43
5 Ga 0.2354 0.7500 0.1780  4 O 1.84-1.89
6 Ga 0.7646 0.2500 0.8220  4 O 1.84-1.89
7 O 0.0190 0.7500 0.9150  1 Ga 1.84
8 O 0.0305 0.7500 0.3382  1 Ga 1.84
9 O 0.4712 0.5140 0.2148  1 Ga 1.89
10 O 0.4712 0.9860 0.2148  1 Ga 1.89
11 O 0.5288 0.0140 0.7852  1 Ga 1.89
12 O 0.5288 0.4860 0.7852  1 Ga 1.89
13 O 0.9695 0.2500 0.6618  1 Ga 1.84
14 O 0.9810 0.2500 0.0850  1 Ga 1.84

Entry 3:
Entry from the Alexandria database: a relaxed structure of Sc2TaCd (GGA-PBE).

Its energy relative to the elements is 0.078 eV/atom.

Cell lengths 2.9759, 5.1194, 5.5348 Å; angles 90.00, 90.00, 90.00 degrees
With the nearest neighbours (Å) after each atom.
Atoms (fractional coordinates):
1 Sc 0.0000 0.0000 0.0000  4 Sc 2.98-3.14, 4 Cd 3.06-3.23, 4 Ta 3.09
2 Sc 0.0000 0.5000 0.3276  4 Sc 2.98-3.14, 4 Ta 3.08-3.20, 4 Cd 3.14
3 Ta 0.5000 0.5000 0.8402  2 Ta 2.98, 8 Sc 3.08-3.20, 2 Cd 3.12
4 Cd 0.5000 0.0000 0.5177  2 Cd 2.98, 8 Sc 3.06-3.23, 2 Ta 3.12

Entry 4:
Entry from the Alexandria database: a relaxed structure of CaPuCoRh (GGA-PBE).

Its energy relative to the elements is -0.081 eV/atom.

Cell lengths 4.7887, 4.7887, 4.7887 Å; angles 60.00, 60.00, 60.00 degrees
With the nearest neighbours (Å) after each atom.
Atoms (fractional coordinates):
1 Ca 0.0000 0.0000 0.0000  4 Co 2.93, 4 Rh 2.93
2 Pu 0.5000 0.5000 0.5000  4 Co 2.93, 4 Rh 2.93
3 Co 0.7500 0.7500 0.7500  4 Ca 2.93, 4 Pu 2.93
4 Rh 0.2500 0.2500 0.2500  4 Ca 2.93, 4 Pu 2.93

Entry 5:
Entry from the Alexandria database: a relaxed structure of PrDyP (GGA-PBE).

Its energy relative to the elements is -0.902 eV/atom.

Cell lengths 13.6660, 13.6660, 13.6660 Å; angles 16.66, 16.66, 16.66 degrees
With the nearest neighbours (Å) after each atom.
Atoms (fractional coordinates):
1 Pr 0.2083 0.2083 0.2083  3 P 2.89
2 Pr 0.7917 0.7917 0.7917  3 P 2.89
3 Dy 0.0446 0.0446 0.0446  3 P 2.72
4 Dy 0.9554 0.9554 0.9554  3 P 2.72
5 P 0.4145 0.4145 0.4145  3 Dy 2.72, 3 Pr 2.89
6 P 0.5855 0.5855 0.5855  3 Dy 2.72, 3 Pr 2.89